A relaxed structure of SbRu2Rh. Source: the Alexandria database, functional PBE-GGA.

Lattice parameters (Å, degrees): 2.9166 4.1021 5.4496 90.00 102.24 90.00
With the nearest neighbours (Å) after each atom.
Space group P2/m (No. 10)
Symmetry-distinct sites (fractional):
Sb 0.0000 0.0000 0.0000 [1 per cell]  4 Ru 2.61, 2 Rh 2.72, 2 Sb 2.92
Ru 0.3912 0.5000 0.2588 [2 per cell]  1 Ru 2.57, 2 Sb 2.61, 4 Rh 2.81-2.85
Rh 0.0000 0.0000 0.5000 [1 per cell]  2 Sb 2.72, 8 Ru 2.81-2.85, 2 Rh 2.92

## Properties
As for the uncorrected formation energy: 190 meV/atom. The calculation puts the electronic total energy at -7.3161 eV/atom.

A relaxed structure of SbRuRh2. Source: the Alexandria database, functional PBE-GGA.

Lattice parameters (Å, degrees): 3.9808 3.9808 7.8117 90.00 90.00 90.00
With the nearest neighbours (Å) after each atom.
Space group I4/mmm (No. 139)
Symmetry-distinct sites (fractional):
Sb 0.0000 0.0000 0.0000 [2 per cell]  8 Rh 2.79, 4 Ru 2.81
Ru 0.0000 0.0000 0.5000 [2 per cell]  8 Rh 2.79, 4 Sb 2.81
Rh 0.0000 0.5000 0.2500 [4 per cell]  4 Sb 2.79, 4 Ru 2.79, 4 Rh 2.81

## Properties
As for the uncorrected formation energy: -78 meV/atom. The calculation puts the electronic total energy at -7.1037 eV/atom.

A relaxed structure of SbRuRh2. Source: the Alexandria database, functional PBE-GGA.

Lattice parameters (Å, degrees): 2.9021 4.4617 4.8411 90.00 90.00 90.00
With the nearest neighbours (Å) after each atom.
Space group Pmm2 (No. 25)
Symmetry-distinct sites (fractional):
Sb 0.0000 0.0000 0.0000 [1 per cell]  8 Rh 2.79-2.85, 2 Ru 2.80, 2 Sb 2.90
Ru 0.0000 0.5000 0.3492 [1 per cell]  8 Rh 2.73-2.91, 2 Sb 2.80, 2 Ru 2.90
Rh 0.5000 0.0000 0.4927 [1 per cell]  4 Ru 2.75, 4 Rh 2.76-2.90, 4 Sb 2.79-2.85
Rh 0.5000 0.5000 0.8274 [1 per cell]  4 Ru 2.73-2.91, 4 Rh 2.76-2.90, 4 Sb 2.79

## Properties
As for the uncorrected formation energy: 28 meV/atom. The calculation puts the electronic total energy at -6.9974 eV/atom.

A relaxed structure of SbRu2Rh. Source: the Alexandria database, functional PBE-GGA.

Lattice parameters (Å, degrees): 5.7551 7.3295 2.9424 90.00 90.00 90.00
With the nearest neighbours (Å) after each atom.
Space group Cmmm (No. 65)
Symmetry-distinct sites (fractional):
Sb 0.0000 0.0000 0.0000 [2 per cell]  8 Ru 2.76, 2 Rh 2.88, 2 Sb 2.94
Ru 0.2500 0.2500 0.5000 [4 per cell]  4 Sb 2.76, 4 Rh 2.76, 4 Ru 2.88-2.94
Rh 0.0000 0.5000 0.0000 [2 per cell]  8 Ru 2.76, 2 Sb 2.88, 2 Rh 2.94

## Properties
As for the uncorrected formation energy: 126 meV/atom. The calculation puts the electronic total energy at -7.3803 eV/atom.